# NdDy2Sc

NdDy2Sc after structural relaxation (PBE-GGA, Alexandria via LeMat-Bulk).

Unit cell a=3.5229 b=3.5229 c=9.8713 alpha=90.00 beta=90.00 gamma=90.00
Space group P4/mmm (No. 123)
Unique sites:
Nd  0.0000  0.0000  0.0000
Dy  0.5000  0.5000  0.2657
Sc  0.0000  0.0000  0.5000

Calculated values
Calculated total energy = -5.029 eV/atom
Energy of formation from the pure elements = 5 kJ/mol of atoms
Energy relative to the lowest polymorph listed for this composition = 0.5 kJ/mol of atoms
Volume = 30.6 Å³ per atom